Record 1
Entry from the Alexandria database: an optimized crystal structure of BaLi2Ag (PBE). Values from VASP.

Geometry as Quantum ESPRESSO input:
```
&SYSTEM
  ibrav = 0, nat = 4, ntyp = 3
/
ATOMIC_SPECIES
Ba 137.33 Ba.upf
Li 6.94 Li.upf
Ag 107.87 Ag.upf
ATOMIC_POSITIONS crystal
Ba 0.000 0.000 0.000
Li 0.000 0.500 0.500
Li 0.500 0.000 0.500
Ag 0.500 0.500 0.000
CELL_PARAMETERS angstrom
4.660 0.000 0.000
0.000 4.660 0.000
0.000 0.000 5.609
```

Summary:
Fermi-level density of states   2.0 states/eV per cell
Raw total energy   -2.114 eV per atom
Energy relative to the elements   0.04 eV per atom
SG   P4/mmm (123)



Record 2
Entry from the Alexandria database: an optimized crystal structure of NiMoBr2 (PBE). Values from VASP.

Geometry as Quantum ESPRESSO input:
```
&SYSTEM
  ibrav = 0, nat = 4, ntyp = 3
/
ATOMIC_SPECIES
Ni 58.69 Ni.upf
Mo 95.94 Mo.upf
Br 79.90 Br.upf
ATOMIC_POSITIONS crystal
Ni 0.000 0.000 0.000
Mo 0.572 0.500 0.149
Br 0.421 0.500 0.834
Br 0.684 0.000 0.382
CELL_PARAMETERS angstrom
3.242 0.000 0.000
0.000 3.285 0.000
-1.559 0.000 8.266
```

Summary:
Fermi-level density of states   2.1 states/eV per cell
Formation energy from raw total energies   42 meV per atom
Raw total energy   -4.947 eV per atom
SG   Pm (6)



Record 3
Entry from the Alexandria database: an optimized crystal structure of Tm4Cu (PBE). Values from VASP.

Geometry as Quantum ESPRESSO input:
```
&SYSTEM
  ibrav = 0, nat = 10, ntyp = 2
/
ATOMIC_SPECIES
Tm 168.93 Tm.upf
Cu 63.55 Cu.upf
ATOMIC_POSITIONS crystal
Tm 0.045 0.955 0.201
Tm 0.049 0.451 0.205
Tm 0.105 0.508 0.740
Tm 0.451 0.049 0.295
Tm 0.508 0.105 0.648
Tm 0.510 0.602 0.145
Tm 0.602 0.510 0.742
Tm 0.955 0.045 0.799
Cu 0.653 0.653 0.347
Cu 0.903 0.903 0.597
CELL_PARAMETERS angstrom
0.000 6.090 3.736
6.058 0.000 3.736
6.058 6.090 0.000
```

Summary:
Fermi-level density of states   15.8 states/eV per cell
Raw total energy   -4.382 eV per atom
Energy relative to the elements   0.01 eV per atom
SG   Fdd2 (43)